The following is a SCAN calculation of Zr2ScTe at its PBEsol-relaxed geometry, from the Alexandria database.

Cell: 3.467 4.725 5.470 Å, 90.00 102.11 90.00°
Positions (direct):
Zr 0.760 0.500 0.320
Zr 0.976 0.000 0.938
Te 0.425 0.500 0.783
Sc 0.340 0.000 0.459

Formation energy (no corrections)   -397 meV per atom
Space group   Pm (6)
Theoretical density   6.73 g/cm3

The following is a SCAN calculation of CrSb2TeO at its PBEsol-relaxed geometry, from the Alexandria database.

Cell: 4.617 4.617 4.870 Å, 90.00 90.00 90.00°
Each line ends with the local moment (μB).
Positions (direct):
Sb 0.500 0.000 0.000  -0.12
Sb 0.000 0.500 0.000  -0.12
Te 0.000 0.000 0.500  -0.11
O 0.000 0.000 0.000  -0.06
Cr 0.500 0.500 0.500  3.98

Formation energy (no corrections)   156 meV per atom
Space group   P4/mmm (123)
Theoretical density   7.02 g/cm3

no.,magnetization (μB/atom)
1,0.00
2,0.74